Computed, not measured: a geometry-optimized CuPN2O structure at the PBE level of DFT.

Results
**DOS at the Fermi energy**: 0.807 states/eV/atom
**Total moment**: 0.0 Bohr magnetons per cell
**Energy relative to the elements, uncorrected**: 37.873 kcal/mol of atoms

```
5
Lattice="3.766 0.000 0.000 0.000 3.766 0.000 0.000 0.000 3.688" Properties=species:S:1:pos:R:3 pbc="T T T"
Cu 0.000 0.000 0.000
P 1.883 1.883 1.844
N 0.000 1.883 0.000
N 1.883 0.000 0.000
O 0.000 0.000 1.844
```